Na2Ti2O5 | GGA-PBEsol | optimized geometry

Output
As for the formation energy (no corrections): -2.60 eV per atom. For the volume, the calculation gives 16.7 Å³ per atom. As for the space-group type: No. 60. The magnetization comes out at 0.00 μB per formula unit.

Unit cell a=5.5569 b=6.6087 c=16.3245 alpha=90.00 beta=90.00 gamma=90.00
With the nearest neighbours (Å) after each atom.
Element x y z (fractional)
Na 0.2885 0.4051 0.0564  4 O 2.28-2.36
Na 0.7115 0.4051 0.5564  4 O 2.28-2.36
Na 0.7885 0.0949 0.0564  4 O 2.28-2.36
Na 0.2115 0.0949 0.5564  4 O 2.28-2.36
Na 0.7885 0.9051 0.4436  4 O 2.28-2.36
Na 0.2115 0.9051 0.9436  4 O 2.28-2.36
Na 0.2885 0.5949 0.4436  4 O 2.28-2.36
Na 0.7115 0.5949 0.9436  4 O 2.28-2.36
Ti 0.7901 0.3973 0.3518  4 O 1.74-1.85
Ti 0.2099 0.3973 0.8518  4 O 1.74-1.85
Ti 0.2901 0.1027 0.3518  4 O 1.74-1.85
Ti 0.7099 0.1027 0.8518  4 O 1.74-1.85
Ti 0.7099 0.8973 0.6482  4 O 1.74-1.85
Ti 0.2901 0.8973 0.1482  4 O 1.74-1.85
Ti 0.7901 0.6027 0.1482  4 O 1.74-1.85
Ti 0.2099 0.6027 0.6482  4 O 1.74-1.85
O 0.7312 0.5000 0.2500  2 Ti 1.82
O 0.2688 0.5000 0.7500  2 Ti 1.82
O 0.7072 0.4313 0.0720  1 Ti 1.74
O 0.2928 0.4313 0.5720  1 Ti 1.74
O 0.1123 0.3366 0.3680  2 Ti 1.85
O 0.8877 0.3366 0.8680  2 Ti 1.85
O 0.6123 0.1634 0.3680  2 Ti 1.85
O 0.3877 0.1634 0.8680  2 Ti 1.85
O 0.2072 0.0687 0.0720  1 Ti 1.74
O 0.7928 0.0687 0.5720  1 Ti 1.74
O 0.2312 0.0000 0.2500  2 Ti 1.82
O 0.7688 0.0000 0.7500  2 Ti 1.82
O 0.2072 0.9313 0.4280  1 Ti 1.74
O 0.7928 0.9313 0.9280  1 Ti 1.74
O 0.6123 0.8366 0.1320  2 Ti 1.85
O 0.3877 0.8366 0.6320  2 Ti 1.85
O 0.1123 0.6634 0.1320  2 Ti 1.85
O 0.8877 0.6634 0.6320  2 Ti 1.85
O 0.7072 0.5687 0.4280  1 Ti 1.74
O 0.2928 0.5687 0.9280  1 Ti 1.74



LiZrO2 | GGA-PBEsol | optimized geometry

Output
As for the formation energy (no corrections): -2.71 eV per atom. For the volume, the calculation gives 10.1 Å³ per atom. As for the space-group type: No. 141. The magnetization comes out at 0.00 μB per formula unit.

Unit cell a=4.2901 b=4.2901 c=5.3444 alpha=113.66 beta=113.66 gamma=90.00
With the nearest neighbours (Å) after each atom.
Element x y z (fractional)
O 0.2440 0.2440 0.4880  3 Zr 2.15-2.25, 3 Li 2.15
O 0.0060 0.5060 0.0120  3 Zr 2.15-2.25, 3 Li 2.15
O 0.7560 0.7560 0.5120  3 Zr 2.15-2.25, 3 Li 2.15
O 0.4940 0.9940 0.9880  3 Li 2.15, 3 Zr 2.15-2.25
Zr 0.7500 0.2500 0.5000  6 O 2.15-2.25
Zr 0.5000 0.5000 0.0000  6 O 2.15-2.25
Li 0.2500 0.7500 0.5000  6 O 2.15
Li 0.0000 0.0000 0.0000  6 O 2.15



Which value of magnetization does entry 2 give? 0.00 μB per formula unit



Which value of magnetization does entry 1 give? 0.00 μB per formula unit